Record 1
A plane-wave DFT calculation with PBE-GGA was carried out for GdY2Ga after structural relaxation.

Lattice parameters (Å, degrees): 6.8410 6.8410 5.2420 90.00 90.00 119.79
Fractional coordinates of all 8 atoms:
Gd  0.8232  0.1768  0.7500
Gd  0.1768  0.8232  0.2500
Ga  0.6655  0.3345  0.2500
Ga  0.3345  0.6655  0.7500
Y  0.3515  0.1737  0.7500
Y  0.8263  0.6485  0.7500
Y  0.1737  0.3515  0.2500
Y  0.6485  0.8263  0.2500

Values from the calculation:
- Volume: 212.9 Å³ per cell
- Crystal system: orthorhombic
- Energy relative to the lowest polymorph listed for this composition: 5 kJ/mol of formula units
- Space group: Cmcm (63)



Record 2
A plane-wave DFT calculation with PBE-GGA was carried out for Gd3Y3Ga after structural relaxation.

Lattice parameters (Å, degrees): 6.7139 6.7139 17.7821 90.00 90.00 148.14
Site moments in Bohr magnetons follow the coordinates.
Fractional coordinates of all 14 atoms:
Gd  0.3303  0.6697  0.9252  0.04
Gd  0.3303  0.6697  0.5748  0.04
Gd  0.6697  0.3303  0.0748  0.04
Gd  0.7794  0.2206  0.2500  0.19
Gd  0.2206  0.7794  0.7500  0.19
Gd  0.6697  0.3303  0.4252  0.04
Y  0.4075  0.5925  0.3830  0.15
Y  0.9435  0.0565  0.7500  0.06
Y  0.5925  0.4075  0.8830  0.15
Y  0.5925  0.4075  0.6170  0.15
Y  0.0565  0.9435  0.2500  0.06
Y  0.4075  0.5925  0.1170  0.15
Ga  0.0000  0.0000  0.5000  0.00
Ga  0.0000  0.0000  0.0000  0.01

Values from the calculation:
- Volume: 423.1 Å³ per cell
- Crystal system: orthorhombic
- Space group: Cmcm (63)
- Total energy: -5.338 eV/atom



Copy entry 1 word for word.
A plane-wave DFT calculation with PBE-GGA was carried out for GdY2Ga after structural relaxation.

Lattice parameters (Å, degrees): 6.8410 6.8410 5.2420 90.00 90.00 119.79
Fractional coordinates of all 8 atoms:
Gd  0.8232  0.1768  0.7500
Gd  0.1768  0.8232  0.2500
Ga  0.6655  0.3345  0.2500
Ga  0.3345  0.6655  0.7500
Y  0.3515  0.1737  0.7500
Y  0.8263  0.6485  0.7500
Y  0.1737  0.3515  0.2500
Y  0.6485  0.8263  0.2500

Values from the calculation:
- Volume: 212.9 Å³ per cell
- Crystal system: orthorhombic
- Energy relative to the lowest polymorph listed for this composition: 5 kJ/mol of formula units
- Space group: Cmcm (63)